Entry 1:
The following is a PBE calculation of a geometry-optimized SrCe2BiO8 structure, from the Alexandria database.

Summary:
ΔE_f (raw) = -2.306 eV per atom
Symmetry = P2/m

Cell lengths 3.931, 7.949, 5.445 Å; angles 90.00, 90.79, 90.00 degrees
Atoms (fractional coordinates):
Sr 0.000 0.000 0.000
Ce 0.500 0.260 0.500
Ce 0.500 0.740 0.500
Bi 0.000 0.500 0.000
O 0.008 0.278 0.748
O 0.008 0.722 0.748
O 0.490 0.500 0.237
O 0.500 0.000 0.293
O 0.500 0.000 0.707
O 0.510 0.500 0.763
O 0.992 0.278 0.252
O 0.992 0.722 0.252

Entry 2:
The following is a PBE calculation of a geometry-optimized Sr2CeBiO6 structure, from the Alexandria database.

Summary:
ΔE_f (raw) = -2.498 eV per atom
Symmetry = P2_1/c

Cell lengths 6.032, 6.213, 10.524 Å; angles 90.00, 124.85, 90.00 degrees
Atoms (fractional coordinates):
Sr 0.236 0.049 0.250
Sr 0.236 0.451 0.750
Sr 0.764 0.549 0.250
Sr 0.764 0.951 0.750
Ce 0.500 0.000 0.000
Ce 0.500 0.500 0.500
Bi 0.000 0.000 0.500
Bi 0.000 0.500 0.000
O 0.146 0.201 0.944
O 0.146 0.299 0.444
O 0.244 0.704 0.943
O 0.244 0.796 0.443
O 0.357 0.043 0.751
O 0.357 0.457 0.251
O 0.643 0.543 0.749
O 0.643 0.957 0.249
O 0.756 0.204 0.557
O 0.756 0.296 0.057
O 0.854 0.701 0.556
O 0.854 0.799 0.056

Entry 3:
The following is a PBE calculation of a geometry-optimized CeTaBiO6 structure, from the Alexandria database.

Summary:
ΔE_f (raw) = -2.543 eV per atom
Symmetry = P-31c

Cell lengths 5.695, 5.695, 9.589 Å; angles 90.00, 90.00, 120.00 degrees
Atoms (fractional coordinates):
Ce 0.333 0.667 0.250
Ce 0.667 0.333 0.750
Ta 0.333 0.667 0.750
Ta 0.667 0.333 0.250
Bi 0.000 0.000 0.000
Bi 0.000 0.000 0.500
O 0.033 0.372 0.637
O 0.033 0.661 0.863
O 0.339 0.372 0.863
O 0.339 0.967 0.637
O 0.372 0.033 0.137
O 0.372 0.339 0.363
O 0.628 0.661 0.637
O 0.628 0.967 0.863
O 0.661 0.033 0.363
O 0.661 0.628 0.137
O 0.967 0.339 0.137
O 0.967 0.628 0.363

Entry 4:
The following is a PBE calculation of a geometry-optimized TbCeBiO2 structure, from the Alexandria database.

Summary:
ΔE_f (raw) = -2.638 eV per atom
Symmetry = I4mm

Cell lengths 7.183, 7.183, 7.183 Å; angles 147.89, 147.89, 46.05 degrees
Atoms (fractional coordinates):
Tb 0.000 0.000 0.000
Ce 0.325 0.325 0.000
Bi 0.662 0.662 0.000
O 0.414 0.914 0.500
O 0.914 0.414 0.500

Entry 5:
The following is a PBE calculation of a geometry-optimized TbCeBiO6 structure, from the Alexandria database.

Summary:
ΔE_f (raw) = -2.340 eV per atom
Symmetry = P312

Cell lengths 5.701, 5.701, 4.874 Å; angles 90.00, 90.00, 120.00 degrees
Atoms (fractional coordinates):
Tb 0.000 0.000 0.000
Ce 0.667 0.333 0.500
Bi 0.333 0.667 0.000
O 0.011 0.351 0.240
O 0.011 0.660 0.760
O 0.340 0.351 0.760
O 0.340 0.989 0.240
O 0.649 0.660 0.240
O 0.649 0.989 0.760

Entry 6:
The following is a PBE calculation of a geometry-optimized CeBiTeO6 structure, from the Alexandria database.

Summary:
ΔE_f (raw) = -1.741 eV per atom
Symmetry = P-31c

Cell lengths 5.772, 5.772, 9.656 Å; angles 90.00, 90.00, 120.00 degrees
Atoms (fractional coordinates):
Ce 0.333 0.667 0.250
Ce 0.667 0.333 0.750
Bi 0.000 0.000 0.000
Bi 0.000 0.000 0.500
Te 0.333 0.667 0.750
Te 0.667 0.333 0.250
O 0.031 0.368 0.636
O 0.031 0.663 0.864
O 0.337 0.368 0.864
O 0.337 0.969 0.636
O 0.368 0.031 0.136
O 0.368 0.337 0.364
O 0.632 0.663 0.636
O 0.632 0.969 0.864
O 0.663 0.031 0.364
O 0.663 0.632 0.136
O 0.969 0.337 0.136
O 0.969 0.632 0.364

Entry 7:
The following is a PBE calculation of a geometry-optimized CeThBiO2 structure, from the Alexandria database.

Summary:
ΔE_f (raw) = -2.617 eV per atom
Symmetry = I4mm

Cell lengths 7.090, 7.090, 7.090 Å; angles 146.60, 146.60, 47.95 degrees
Atoms (fractional coordinates):
Ce 0.000 0.000 0.000
Th 0.308 0.308 0.000
Bi 0.651 0.651 0.000
O 0.397 0.897 0.500
O 0.897 0.397 0.500

Entry 8:
The following is a PBE calculation of a geometry-optimized CeTl2BiO6 structure, from the Alexandria database.

Summary:
ΔE_f (raw) = -1.426 eV per atom
Symmetry = Pmmn

Cell lengths 6.154, 8.717, 6.155 Å; angles 90.00, 90.00, 90.00 degrees
Atoms (fractional coordinates):
Ce 0.250 0.250 0.250
Ce 0.750 0.750 0.750
Tl 0.250 0.000 0.749
Tl 0.250 0.500 0.749
Tl 0.750 0.000 0.251
Tl 0.750 0.500 0.251
Bi 0.250 0.750 0.250
Bi 0.750 0.250 0.750
O 0.005 0.750 0.005
O 0.005 0.750 0.495
O 0.250 0.505 0.251
O 0.250 0.995 0.251
O 0.495 0.750 0.005
O 0.495 0.750 0.495
O 0.505 0.250 0.505
O 0.505 0.250 0.995
O 0.750 0.005 0.749
O 0.750 0.495 0.749
O 0.995 0.250 0.505
O 0.995 0.250 0.995

Entry 9:
The following is a PBE calculation of a geometry-optimized CeTmBiO2 structure, from the Alexandria database.

Summary:
ΔE_f (raw) = -2.642 eV per atom
Symmetry = I4mm

Cell lengths 7.131, 7.131, 7.131 Å; angles 147.95, 147.95, 45.96 degrees
Atoms (fractional coordinates):
Ce 0.000 0.000 0.000
Tm 0.673 0.673 0.000
Bi 0.336 0.336 0.000
O 0.092 0.592 0.500
O 0.592 0.092 0.500

Entry 10:
The following is a PBE calculation of a geometry-optimized Ce2BiOs structure, from the Alexandria database.

Summary:
Energy = -7.108 eV/atom
Symmetry = R-3m

Cell lengths 7.753, 7.753, 7.753 Å; angles 31.13, 31.13, 31.13 degrees
Atoms (fractional coordinates):
Ce 0.234 0.234 0.234
Ce 0.766 0.766 0.766
Bi 0.000 0.000 0.000
Os 0.500 0.500 0.500

Entry 11:
The following is a PBE calculation of a geometry-optimized Ce8BiOs2 structure, from the Alexandria database.

Summary:
Energy = -6.891 eV/atom
Symmetry = C2/m

Cell lengths 7.889, 7.889, 5.385 Å; angles 96.64, 96.64, 114.98 degrees
Atoms (fractional coordinates):
Ce 0.077 0.077 0.805
Ce 0.186 0.407 0.443
Ce 0.245 0.755 0.000
Ce 0.407 0.186 0.443
Ce 0.593 0.814 0.557
Ce 0.755 0.245 0.000
Ce 0.814 0.593 0.557
Ce 0.923 0.923 0.195
Bi 0.500 0.500 0.000
Os 0.208 0.792 0.500
Os 0.792 0.208 0.500

Entry 12:
The following is a PBE calculation of a geometry-optimized Ce2BiOs structure, from the Alexandria database.

Summary:
Energy = -7.132 eV/atom
Symmetry = P4/mmm

Cell lengths 3.333, 3.333, 8.919 Å; angles 90.00, 90.00, 90.00 degrees
Atoms (fractional coordinates):
Ce 0.000 0.000 0.204
Ce 0.000 0.000 0.796
Bi 0.500 0.500 0.500
Os 0.500 0.500 0.000

Entry 13:
The following is a PBE calculation of a geometry-optimized Ce12Bi6Os structure, from the Alexandria database.

Summary:
Energy = -5.927 eV/atom
Symmetry = R-3

Cell lengths 8.344, 8.344, 8.344 Å; angles 97.90, 97.90, 97.90 degrees
Atoms (fractional coordinates):
Ce 0.002 0.093 0.330
Ce 0.093 0.330 0.002
Ce 0.170 0.402 0.495
Ce 0.330 0.002 0.093
Ce 0.402 0.495 0.170
Ce 0.495 0.170 0.402
Ce 0.505 0.830 0.598
Ce 0.598 0.505 0.830
Ce 0.670 0.998 0.907
Ce 0.830 0.598 0.505
Ce 0.907 0.670 0.998
Ce 0.998 0.907 0.670
Bi 0.168 0.746 0.339
Bi 0.254 0.661 0.832
Bi 0.339 0.168 0.746
Bi 0.661 0.832 0.254
Bi 0.746 0.339 0.168
Bi 0.832 0.254 0.661
Os 0.000 0.000 0.000

Entry 14:
The following is a PBE calculation of a geometry-optimized Ce12BiOs6 structure, from the Alexandria database.

Summary:
Energy = -7.548 eV/atom
Symmetry = R-3m

Cell lengths 8.502, 8.502, 8.502 Å; angles 107.86, 107.86, 107.86 degrees
Atoms (fractional coordinates):
Ce 0.000 0.380 0.620
Ce 0.000 0.620 0.380
Ce 0.082 0.082 0.347
Ce 0.082 0.347 0.082
Ce 0.347 0.082 0.082
Ce 0.380 0.000 0.620
Ce 0.380 0.620 0.000
Ce 0.620 0.000 0.380
Ce 0.620 0.380 0.000
Ce 0.653 0.918 0.918
Ce 0.918 0.653 0.918
Ce 0.918 0.918 0.653
Bi 0.500 0.500 0.500
Os 0.183 0.767 0.767
Os 0.233 0.233 0.817
Os 0.233 0.817 0.233
Os 0.767 0.183 0.767
Os 0.767 0.767 0.183
Os 0.817 0.233 0.233

Entry 15:
The following is a PBE calculation of a geometry-optimized Ce4BiOs2 structure, from the Alexandria database.

Summary:
Energy = -7.439 eV/atom
Symmetry = P1

Cell lengths 6.991, 7.130, 8.637 Å; angles 108.03, 107.39, 104.79 degrees
Atoms (fractional coordinates):
Ce 0.000 0.000 0.000
Ce 0.044 0.740 0.609
Ce 0.316 0.170 0.467
Ce 0.370 0.567 0.262
Ce 0.462 0.607 0.862
Ce 0.535 0.180 0.009
Ce 0.784 0.137 0.403
Ce 0.935 0.434 0.870
Bi 0.588 0.921 0.655
Bi 0.870 0.701 0.216
Os 0.006 0.354 0.261
Os 0.170 0.204 0.777
Os 0.328 0.862 0.094
Os 0.680 0.528 0.609

Entry 16:
The following is a PBE calculation of a geometry-optimized Ce6BiOs structure, from the Alexandria database.

Summary:
Energy = -6.478 eV/atom
Symmetry = C2/m

Cell lengths 6.347, 6.347, 6.171 Å; angles 101.16, 101.16, 102.72 degrees
Atoms (fractional coordinates):
Ce 0.094 0.704 0.661
Ce 0.296 0.906 0.339
Ce 0.315 0.315 0.926
Ce 0.685 0.685 0.074
Ce 0.704 0.094 0.661
Ce 0.906 0.296 0.339
Bi 0.500 0.500 0.500
Os 0.000 0.000 0.000

Entry 17:
The following is a PBE calculation of a geometry-optimized Ce8Bi2Os structure, from the Alexandria database.

Summary:
Energy = -6.288 eV/atom
Symmetry = C2/m

Cell lengths 9.384, 9.384, 6.549 Å; angles 106.22, 106.22, 34.49 degrees
Atoms (fractional coordinates):
Ce 0.009 0.009 0.291
Ce 0.237 0.237 0.627
Ce 0.361 0.361 0.209
Ce 0.406 0.406 0.767
Ce 0.594 0.594 0.233
Ce 0.639 0.639 0.791
Ce 0.763 0.763 0.373
Ce 0.991 0.991 0.709
Bi 0.168 0.168 0.091
Bi 0.832 0.832 0.909
Os 0.500 0.500 0.500

Entry 18:
The following is a PBE calculation of a geometry-optimized Ce7Bi2Os2 structure, from the Alexandria database.

Summary:
Energy = -6.833 eV/atom
Symmetry = Imm2

Cell lengths 9.596, 9.596, 9.596 Å; angles 156.29, 66.51, 118.88 degrees
Atoms (fractional coordinates):
Ce 0.000 0.000 0.000
Ce 0.282 0.421 0.861
Ce 0.314 0.631 0.683
Ce 0.560 0.421 0.139
Ce 0.610 0.263 0.347
Ce 0.917 0.263 0.653
Ce 0.947 0.631 0.317
Bi 0.272 0.772 0.500
Bi 0.666 0.666 0.000
Os 0.166 0.939 0.226
Os 0.713 0.939 0.774

Entry 19:
The following is a PBE calculation of a geometry-optimized Ce4BiOs structure, from the Alexandria database.

Summary:
Energy = -6.798 eV/atom
Symmetry = P2_1/m

Cell lengths 5.825, 6.620, 8.718 Å; angles 90.00, 102.82, 90.00 degrees
Atoms (fractional coordinates):
Ce 0.150 0.250 0.047
Ce 0.206 0.750 0.366
Ce 0.345 0.530 0.772
Ce 0.345 0.970 0.772
Ce 0.655 0.030 0.228
Ce 0.655 0.470 0.228
Ce 0.794 0.250 0.634
Ce 0.850 0.750 0.953
Bi 0.226 0.250 0.427
Bi 0.774 0.750 0.573
Os 0.313 0.750 0.075
Os 0.687 0.250 0.925

Entry 20:
The following is a PBE calculation of a geometry-optimized Ce6BiOs2 structure, from the Alexandria database.

Summary:
Energy = -7.062 eV/atom
Symmetry = C2/c

Cell lengths 9.317, 9.317, 6.389 Å; angles 109.19, 109.19, 66.93 degrees
Atoms (fractional coordinates):
Ce 0.017 0.462 0.762
Ce 0.027 0.137 0.203
Ce 0.137 0.027 0.703
Ce 0.372 0.460 0.540
Ce 0.460 0.372 0.040
Ce 0.462 0.017 0.262
Ce 0.538 0.983 0.738
Ce 0.540 0.628 0.960
Ce 0.628 0.540 0.460
Ce 0.863 0.973 0.297
Ce 0.973 0.863 0.797
Ce 0.983 0.538 0.238
Bi 0.250 0.750 0.250
Bi 0.750 0.250 0.750
Os 0.242 0.256 0.092
Os 0.256 0.242 0.592
Os 0.744 0.758 0.408
Os 0.758 0.744 0.908